(P)
PAu2Br: relaxed, PBE.

It has space group Pmmm (No. 47), with a = 2.772 Å, b = 3.642 Å, c = 8.447 Å, α = 90.00°, β = 90.00° and γ = 90.00°. Symmetry generates all atoms from P at (0.000, 0.000, 0.000), Au at (0.500, 0.500, 0.185) and Br at (0.000, 0.000, 0.500).

The magnetization is 0.0 μB per formula unit.


(Q)
PAu2Br: relaxed, PBE.

It has space group Pmmm (No. 47), with a = 3.088 Å, b = 4.801 Å, c = 5.247 Å, α = 90.00°, β = 90.00° and γ = 90.00°. Symmetry generates all atoms from P at (0.000, 0.000, 0.000), Au at (0.000, 0.500, 0.500), Au at (0.500, 0.000, 0.500) and Br at (0.500, 0.500, 0.000).

The magnetization is 0.0 μB per formula unit.


Verdict on stability: (P) comes out on top.


(P)
BaSc: relaxed, PBE.

It has space group I4/m (No. 87), with a = 13.295 Å, b = 13.295 Å, c = 3.712 Å, α = 90.00°, β = 90.00° and γ = 90.00°. Symmetry generates all atoms from Ba at (0.121, 0.174, 0.000) and Sc at (0.069, 0.613, 0.000).

The magnetization is 0.0 μB per formula unit.


(Q)
BaSc: relaxed, PBE.

It has space group P2_13 (No. 198), with a = 6.751 Å, b = 6.751 Å, c = 6.751 Å, α = 90.00°, β = 90.00° and γ = 90.00°. Symmetry generates all atoms from Ba at (0.092, 0.408, 0.592) and Sc at (0.109, 0.891, 0.391).

The magnetization is 0.0 μB per formula unit.


Verdict on stability: (P) comes out on top.


(P)
TlHgCl2: relaxed, PBE.

It has space group F-43m (No. 216), with a = 7.509 Å, b = 7.509 Å, c = 7.509 Å, α = 90.00°, β = 90.00° and γ = 90.00°. Symmetry generates all atoms from Tl at (0.000, 0.000, 0.000), Hg at (0.250, 0.250, 0.750), Cl at (0.000, 0.000, 0.500) and Cl at (0.250, 0.250, 0.250).

The magnetization is 0.0 μB per formula unit.


(Q)
TlHgCl2: relaxed, PBE.

It has space group I-42d (No. 122), with a = 6.376 Å, b = 6.376 Å, c = 15.648 Å, α = 90.00°, β = 90.00° and γ = 90.00°. Symmetry generates all atoms from Tl at (0.000, 0.000, 0.000), Hg at (0.000, 0.000, 0.500) and Cl at (0.201, 0.250, 0.625).

The magnetization is 0.0 μB per formula unit.


Verdict on stability: (Q) comes out on top.


(P)
KScTi: relaxed, PBE.

It has space group F-43m (No. 216), with a = 7.595 Å, b = 7.595 Å, c = 7.595 Å, α = 90.00°, β = 90.00° and γ = 90.00°. Symmetry generates all atoms from K at (0.000, 0.000, 0.000), Sc at (0.000, 0.000, 0.500) and Ti at (0.250, 0.250, 0.750).

The magnetization is 5.1 μB per formula unit.


(Q)
KScTi: relaxed, PBE.

It has space group P4/nmm (No. 129, origin choice 2), with a = 4.529 Å, b = 4.529 Å, c = 10.324 Å, α = 90.00°, β = 90.00° and γ = 90.00°. Symmetry generates all atoms from K at (0.250, 0.250, 0.142), Sc at (0.250, 0.750, 0.500) and Ti at (0.250, 0.250, 0.692).

The magnetization is 3.7 μB per formula unit.


Verdict on stability: (Q) comes out on top.


(P)
Pm2NdTm: relaxed, PBE.

It has space group P4/mmm (No. 123), with a = 4.229 Å, b = 4.229 Å, c = 7.520 Å, α = 90.00°, β = 90.00° and γ = 90.00°. Symmetry generates all atoms from Pm at (0.000, 0.000, 0.239), Nd at (0.500, 0.500, 0.500) and Tm at (0.500, 0.500, 0.000).

The magnetization is 0.0 μB per formula unit.


(Q)
Pm2NdTm: relaxed, PBE.

It has space group Fm-3m (No. 225), with a = 8.144 Å, b = 8.144 Å, c = 8.144 Å, α = 90.00°, β = 90.00° and γ = 90.00°. Symmetry generates all atoms from Pm at (0.250, 0.250, 0.250), Nd at (0.000, 0.000, 0.000) and Tm at (0.000, 0.000, 0.500).

The magnetization is 0.0 μB per formula unit.


Verdict on stability: (P) comes out on top.


(P)
PtRh2W: relaxed, PBE.

It has space group Pmm2 (No. 25), with a = 2.745 Å, b = 3.948 Å, c = 5.501 Å, α = 90.00°, β = 90.00° and γ = 90.00°. Symmetry generates all atoms from Pt at (0.000, 0.000, 0.000), Rh at (0.000, 0.000, 0.505), Rh at (0.500, 0.500, 0.259) and W at (0.500, 0.500, 0.740).

The magnetization is 0.0 μB per formula unit.


(Q)
PtRh2W: relaxed, PBE.

It has space group R-3m (No. 166, hexagonal axes), with a = 2.7791 Å, b = 2.7791 Å, c = 27.0433 Å, α = 90.00°, β = 90.00° and γ = 120.00°. Symmetry generates all atoms from Pt at (0.0000, 0.0000, 0.0000), Rh at (0.0000, 0.0000, 0.2467) and W at (0.0000, 0.0000, 0.5000).

The magnetization is 0.0 μB per formula unit.


Verdict on stability: (P) comes out on top.


(P)
LiCuOs2: relaxed, PBE.

It has space group Pmm2 (No. 25), with a = 2.680 Å, b = 3.891 Å, c = 5.273 Å, α = 90.00°, β = 90.00° and γ = 90.00°. Symmetry generates all atoms from Li at (0.000, 0.000, 0.000), Cu at (0.500, 0.500, 0.801), Os at (0.000, 0.000, 0.496) and Os at (0.500, 0.500, 0.302).

The magnetization is 0.0 μB per formula unit.


(Q)
LiCuOs2: relaxed, PBE.

It has space group Cmmm (No. 65), with a = 2.699 Å, b = 4.498 Å, c = 9.124 Å, α = 90.00°, β = 90.00° and γ = 90.00°. Symmetry generates all atoms from Li at (0.000, 0.000, 0.000), Cu at (0.000, 0.000, 0.500) and Os at (0.000, 0.500, 0.254).

The magnetization is 0.0 μB per formula unit.


Verdict on stability: (P) comes out on top.